# ScRe2Ag

A geometry-optimized ScRe2Ag structure (PBE, Alexandria).

Cell and atoms, written as POSCAR:
```
ScRe2Ag
1.0
2.872 0.000 0.000
0.000 4.154 0.000
-0.750 0.000 5.740
Sc Re Ag
1 2 1
direct
0.000 0.000 0.000 Sc
0.122 0.000 0.552 Re
0.521 0.500 0.727 Re
0.559 0.500 0.251 Ag
```

Summary:
- energy of formation (meV per atom) = 165
- energy above the most stable polymorph in this dataset (meV/atom) = 124
- space group = Pm